1.
An optimized crystal structure of Cr2ReAu. Source: Alexandria, functional GGA-PBE.

a = 6.1301 Å, b = 4.6052 Å, c = 2.7702 Å
α = 90.07°, β = 63.01°, γ = 121.94°
With the nearest neighbours (Å) after each atom.
Fractional coordinates of all 4 atoms:
Cr: 0.5000 0.0000 0.5000  4 Au 2.69, 4 Re 2.69, 4 Cr 2.73-2.77
Cr: 0.0000 0.0000 0.0000  4 Re 2.69, 4 Au 2.69, 4 Cr 2.73-2.77
Au: 0.5000 0.5000 0.0000  8 Cr 2.69, 2 Re 2.73, 2 Au 2.77
Re: 0.0000 0.5000 0.5000  8 Cr 2.69, 2 Au 2.73, 2 Re 2.77

V   14.027 A^3/atom
Total magnetic moment   0.06 μB per formula unit
DFT total energy   -0.617 Ry per atom
ΔH_f (0 K)   0.352 eV per atom

2.
An optimized crystal structure of CrRe2Au. Source: Alexandria, functional GGA-PBE.

a = 3.8435 Å, b = 3.8447 Å, c = 3.9897 Å
α = 90.00°, β = 90.00°, γ = 90.00°
With the nearest neighbours (Å) after each atom.
Fractional coordinates of all 4 atoms:
Cr: 0.0000 0.5000 0.5000  4 Au 2.72, 8 Re 2.77
Au: 0.5000 0.0000 0.5000  4 Cr 2.72, 8 Re 2.77
Re: 0.0000 0.0000 0.0000  4 Re 2.72, 4 Au 2.77, 4 Cr 2.77
Re: 0.5000 0.5000 0.0000  4 Re 2.72, 4 Cr 2.77, 4 Au 2.77

V   14.739 A^3/atom
Total magnetic moment   0.83 μB per formula unit
DFT total energy   -0.670 Ry per atom
ΔH_f (0 K)   0.328 eV per atom

3.
An optimized crystal structure of Cr2ReAu. Source: Alexandria, functional GGA-PBE.

a = 2.6535 Å, b = 2.6535 Å, c = 8.6955 Å
α = 90.00°, β = 90.00°, γ = 111.00°
With the nearest neighbours (Å) after each atom.
Fractional coordinates of all 4 atoms:
Cr: 0.5000 0.5000 0.2362  2 Cr 2.35, 2 Re 2.55
Cr: 0.0000 0.0000 0.0290  2 Cr 2.35
Re: 0.0000 0.0000 0.4725  2 Cr 2.55, 4 Re 2.65
Au: 0.5000 0.5000 0.7624  4 Au 2.65, 2 Cr 2.76, 2 Re 2.93

V   14.289 A^3/atom
Total magnetic moment   0.00 μB per formula unit
DFT total energy   -0.619 Ry per atom
ΔH_f (0 K)   0.321 eV per atom

4.
An optimized crystal structure of Cr2ReAu. Source: Alexandria, functional GGA-PBE.

a = 3.0856 Å, b = 3.0856 Å, c = 6.1931 Å
α = 90.00°, β = 90.00°, γ = 90.00°
With the nearest neighbours (Å) after each atom.
Fractional coordinates of all 4 atoms:
Au: 0.5000 0.5000 0.7500  8 Cr 2.77, 4 Au 3.09, 2 Re 3.10
Cr: 0.0000 0.0000 0.4736  4 Re 2.58, 1 Cr 2.77, 4 Au 2.77
Cr: 0.0000 0.0000 0.0264  4 Re 2.58, 1 Cr 2.77, 4 Au 2.77
Re: 0.5000 0.5000 0.2500  8 Cr 2.58

V   14.741 A^3/atom
Total magnetic moment   3.79 μB per formula unit
DFT total energy   -0.624 Ry per atom
ΔH_f (0 K)   0.247 eV per atom

Q: The lowest ΔH_f (0 K) belongs to which entry?
A: number 4

Q: Which of these has the lowest DFT total energy?
A: CrRe2Au

Q: Look up the ΔH_f (0 K) of the second one.
A: 0.328 eV per atom

Q: The highest total magnetic moment belongs to which entry?
A: number 4